# 1
Here is a relaxed Ba8Dy3Pt4O18 crystal from Alexandria. Energies are from PBEsol.

Geometry as POSCAR:
```
Ba8Dy3Pt4O18
1.0
8.355 0.000 0.000
0.000 8.355 0.000
0.000 0.000 8.355
Ba Dy Pt O
8 3 4 18
direct
0.237 0.237 0.237
0.237 0.237 0.763
0.237 0.763 0.237
0.237 0.763 0.763
0.763 0.237 0.237
0.763 0.237 0.763
0.763 0.763 0.237
0.763 0.763 0.763
0.000 0.000 0.500
0.000 0.500 0.000
0.500 0.000 0.000
0.000 0.000 0.000
0.000 0.500 0.500
0.500 0.000 0.500
0.500 0.500 0.000
0.000 0.000 0.238
0.000 0.000 0.762
0.000 0.238 0.000
0.000 0.262 0.500
0.000 0.500 0.262
0.000 0.500 0.738
0.000 0.738 0.500
0.000 0.762 0.000
0.238 0.000 0.000
0.262 0.000 0.500
0.262 0.500 0.000
0.500 0.000 0.262
0.500 0.000 0.738
0.500 0.262 0.000
0.500 0.738 0.000
0.738 0.000 0.500
0.738 0.500 0.000
0.762 0.000 0.000
```

Computed properties:
E_form (uncorrected) = -2.324 eV per atom

# 2
Here is a relaxed SrLi2Au crystal from Alexandria. Energies are from PBEsol.

Geometry as POSCAR:
```
SrLi2Au
1.0
-1.850 2.531 5.056
1.850 -2.531 5.056
1.850 2.531 -5.056
Sr Li Au
1 2 1
direct
0.000 0.000 0.000
0.297 0.797 0.500
0.703 0.203 0.500
0.500 0.500 0.000
```

Computed properties:
Energy relative to the elements = -0.32 eV/atom
Energy above the most stable polymorph in this dataset = 64 meV per atom

What did we get for Fermi-level density of states? Answer: 0.654 0.390 states/eV/atom, in the order shown.